Below is an optimized crystal structure of Zr3CdW, with properties calculated at the PBE level.

The structure in POSCAR format:
```
Zr3CdW
1.0
5.095 0.000 0.000
0.000 5.095 0.000
0.000 0.000 5.095
Zr Cd W
3 1 1
Direct
0.000 0.000 0.500
0.500 0.000 0.000
0.000 0.500 0.000
0.000 0.000 0.000
0.500 0.500 0.500
```

Computed properties:
Relative energy among the computed polymorphs (meV/atom): 1024
Formation enthalpy at 0 K (eV per atom): 1.780



Below is an optimized crystal structure of ErInHg4, with properties calculated at the PBE level.

The structure in POSCAR format:
```
ErInHg4
1.0
4.392 0.000 -0.002
0.000 4.409 -0.002
0.004 0.004 8.828
Hg Er In
4 1 1
Direct
0.501 0.997 0.751
0.501 0.998 0.245
0.001 0.497 0.246
0.001 0.497 0.750
0.501 0.497 0.998
0.002 0.997 0.498
```

Computed properties:
Relative energy among the computed polymorphs (meV/atom): 91
Formation enthalpy at 0 K (eV per atom): -0.069



Below is an optimized crystal structure of DyAlPbO4, with properties calculated at the PBE level.

The structure in POSCAR format:
```
DyAlPbO4
1.0
0.085 5.315 2.485
1.858 -2.305 4.866
6.468 -0.510 -2.711
O Al Dy Pb
8 2 2 2
Direct
0.085 0.513 0.326
0.915 0.013 0.674
0.525 0.250 0.421
0.085 0.987 0.326
0.519 0.250 0.814
0.481 0.750 0.186
0.915 0.487 0.674
0.475 0.750 0.579
0.713 0.250 0.654
0.287 0.750 0.346
0.193 0.250 0.573
0.807 0.750 0.427
0.700 0.750 0.877
0.300 0.250 0.123
```

Computed properties:
ΔE_f (raw) (eV/atom): -2.55



Below is an optimized crystal structure of CeY2TaN4, with properties calculated at the PBE level.

The structure in POSCAR format:
```
CeY2TaN4
1.0
-0.073 1.093 3.187
-3.188 -4.722 1.547
5.685 -1.287 0.571
N Y Ce Ta
4 2 1 1
Direct
0.000 0.770 0.236
0.000 0.230 0.764
0.500 0.223 0.224
0.500 0.777 0.776
0.500 0.000 0.500
0.000 0.500 0.500
0.500 0.500 0.000
0.000 0.000 0.000
```

Computed properties:
ΔE_f (raw) (eV/atom): -1.45



Below is an optimized crystal structure of Pm2YMnS5, with properties calculated at the PBE level.

The structure in POSCAR format:
```
Pm2YMnS5
1.0
3.910 0.000 0.000
-1.955 8.273 0.000
0.000 0.000 11.936
S Pm Y Mn
10 4 2 2
Direct
0.347 0.693 0.017
0.507 0.014 0.253
0.313 0.626 0.360
0.016 0.031 0.021
0.493 0.986 0.753
0.300 0.601 0.687
0.687 0.374 0.860
0.984 0.969 0.521
0.653 0.307 0.517
0.700 0.399 0.187
0.118 0.237 0.692
0.122 0.244 0.344
0.878 0.756 0.844
0.882 0.763 0.192
0.183 0.367 0.025
0.817 0.633 0.525
0.450 0.901 0.426
0.550 0.099 0.926
```

Computed properties:
ΔE_f (raw) (eV/atom): -1.72



Below is an optimized crystal structure of Co3AgP, with properties calculated at the PBE level.

The structure in POSCAR format:
```
Co3AgP
1.0
4.600 0.000 0.000
0.000 4.600 0.000
0.000 0.000 4.600
Co Ag P
3 1 1
Direct
0.000 0.000 0.500
0.000 0.500 0.000
0.500 0.000 0.000
0.000 0.000 0.000
0.500 0.500 0.500
```

Computed properties:
Relative energy among the computed polymorphs (meV/atom): 1586
Formation enthalpy at 0 K (eV per atom): 1.863



Below is an optimized crystal structure of CeTm3C2, with properties calculated at the PBE level.

The structure in POSCAR format:
```
CeTm3C2
1.0
3.461 0.000 0.713
1.551 7.995 1.229
-0.128 -0.979 9.379
Ce C Tm
2 4 6
Direct
0.443 0.422 0.693
0.557 0.578 0.307
0.125 0.627 0.124
0.875 0.373 0.876
0.625 0.122 0.628
0.375 0.878 0.372
0.807 0.835 0.551
0.942 0.921 0.195
0.693 0.668 0.946
0.307 0.332 0.054
0.058 0.079 0.805
0.193 0.165 0.449
```

Computed properties:
Formation enthalpy at 0 K (eV per atom): -0.274



Below is an optimized crystal structure of NbTeSe2S, with properties calculated at the PBE level.

The structure in POSCAR format:
```
NbTeSe2S
1.0
-4.897 0.524 -0.827
-0.904 -3.061 3.416
-0.158 3.738 3.307
Se S Nb Te
2 1 1 1
Direct
0.000 0.000 0.500
0.500 0.000 0.000
0.000 0.000 0.000
0.000 0.500 0.000
0.500 0.500 0.500
```

Computed properties:
ΔE_f (raw) (eV/atom): 0.61



Below is an optimized crystal structure of Li2VSiC, with properties calculated at the PBE level.

The structure in POSCAR format:
```
Li2VSiC
1.0
4.777 0.000 0.000
0.000 4.686 0.000
0.000 0.000 4.777
Li Si V C
2 1 1 1
Direct
0.000 0.000 0.500
0.500 0.000 0.000
0.000 0.500 0.000
0.000 0.000 0.000
0.500 0.500 0.500
```

Computed properties:
ΔE_f (raw) (eV/atom): 2.00



Below is an optimized crystal structure of NdDyHo2Hg4, with properties calculated at the PBE level.

The structure in POSCAR format:
```
NdDyHo2Hg4
1.0
-2.807 -3.826 2.334
1.379 -5.063 -0.651
4.656 -2.464 7.548
Nd Ho Hg Dy
1 2 4 1
Direct
0.000 0.000 0.000
0.249 0.249 0.252
0.751 0.751 0.748
0.127 0.127 0.619
0.873 0.873 0.381
0.377 0.377 0.868
0.623 0.623 0.132
0.500 0.500 0.500
```

Computed properties:
Formation enthalpy at 0 K (eV per atom): -0.471



no.,DFT total energy (eV per atom)
1,-6.123
2,-1.487
3,-7.106
4,-9.451
5,-6.803
6,-4.052
7,-6.573
8,-4.250
9,-3.522
10,-2.937